Run A
Li3InCl6, relaxed, DFT PBE; mass density = 2.67 g/cm3
1.0
6.5475 0.0000 0.0000
0.0000 6.5858 0.0000
-6.5086 0.0000 10.0373
Li In Cl
6 2 12
direct
0.0000 0.0000 0.0000
0.0000 0.5000 0.5000
0.2165 0.0271 0.7290
0.2165 0.4729 0.2290
0.7835 0.5271 0.7710
0.7835 0.9729 0.2710
0.5000 0.0000 0.5000
0.5000 0.5000 0.0000
0.1335 0.1042 0.2679
0.1335 0.3958 0.7679
0.2211 0.6799 0.0570
0.2211 0.8201 0.5570
0.4315 0.1796 0.0917
0.4315 0.3204 0.5917
0.5685 0.6796 0.4083
0.5685 0.8204 0.9083
0.7789 0.1799 0.4430
0.7789 0.3201 0.9430
0.8665 0.6042 0.2321
0.8665 0.8958 0.7321


Run B
Li3InCl6, relaxed, DFT PBE; mass density = 2.29 g/cm3
1.0
0.0000 5.0160 5.0160
5.0160 0.0000 5.0160
5.0160 5.0160 0.0000
Li In Cl
3 1 6
direct
0.0000 0.0000 0.0000
0.2500 0.2500 0.2500
0.7500 0.7500 0.7500
0.5000 0.5000 0.5000
0.2493 0.2493 0.7507
0.2493 0.7507 0.2493
0.2493 0.7507 0.7507
0.7507 0.2493 0.2493
0.7507 0.2493 0.7507
0.7507 0.7507 0.2493


Run C
Li3InCl6, relaxed, DFT PBE; mass density = 2.71 g/cm3
1.0
3.2274 1.8633 5.9065
-3.2274 1.8633 5.9065
0.0000 -3.7267 5.9065
Li In Cl
3 1 6
direct
0.0000 0.0000 0.0000
0.2018 0.2018 0.2018
0.7082 0.7082 0.7082
0.5141 0.5141 0.5141
0.1157 0.4187 0.7867
0.2980 0.9197 0.6004
0.4187 0.7867 0.1157
0.6004 0.2980 0.9197
0.7867 0.1157 0.4187
0.9197 0.6004 0.2980


Short version: run C is the most stable of them.